Entry 1:
## La2CrI2 (PBE-GGA)

Data for a geometry-optimized La2CrI2 structure.

Summary:
- space-group type = P4/mbm
- raw formation energy (eV/atom) = 0.009
- electronic total energy (eV/atom) = -4.507
- V (Å³/atom) = 28.09
- excess energy over the best structure of this formula in the dataset (kcal/mol of atoms) = 0.00
- calculated density (g/cm³) = 6.90

a b c (Å): 7.2691 7.2691 5.3158
angles (deg): 90.00 90.00 90.00
Sites, in units of the cell vectors:
La: 0.1710 0.3290 0.0000
La: 0.3290 0.8290 0.0000
La: 0.6710 0.1710 0.0000
La: 0.8290 0.6710 0.0000
Cr: 0.0000 0.0000 0.5000
Cr: 0.5000 0.5000 0.5000
I: 0.1669 0.6669 0.5000
I: 0.3331 0.1669 0.5000
I: 0.6669 0.8331 0.5000
I: 0.8331 0.3331 0.5000

***

Entry 2:
## La4CrI2 (PBE-GGA)

Data for a geometry-optimized La4CrI2 structure.

Summary:
- space-group type = I4/mmm
- raw formation energy (eV/atom) = -0.237
- electronic total energy (eV/atom) = -4.870
- V (Å³/atom) = 32.65
- calculated density (g/cm³) = 6.26

a b c (Å): 9.5100 9.5100 9.5100
angles (deg): 148.92 148.92 44.53
Sites, in units of the cell vectors:
La: 0.0000 0.5000 0.5000
La: 0.1653 0.1653 0.0000
La: 0.5000 0.0000 0.5000
La: 0.8347 0.8347 0.0000
Cr: 0.0000 0.0000 0.0000
I: 0.3613 0.3613 0.0000
I: 0.6387 0.6387 0.0000

***

> Which of these has the highest V?

La4CrI2